VASP calculation (PBE) on a relaxed HfI crystal.

Properties
Density of states at the Fermi level   1.97 states/eV/f.u.
Uncorrected energy   -5.64 eV per atom
Crystal system   hexagonal
Formation energy from raw total energies   0.110 eV/atom

a b c (Å): 3.5162 3.5162 10.0020
angles (deg): 90.00 90.00 120.00
Element x y z (fractional)
Hf 0.3333 0.6667 0.0000
Hf 0.6667 0.3333 0.5000
I 0.3333 0.6667 0.7091
I 0.6667 0.3333 0.2091